[1]
A geometry-optimized SrLiBi structure. Source: Alexandria via LeMat-Bulk, functional PBE-GGA.

Computed properties:
**Space group**: Pnma (62)
**Formation energy from the elements**: -832 meV/atom

a = 8.2220 Å, b = 4.9470 Å, c = 8.7043 Å
α = 90.00°, β = 90.00°, γ = 90.00°
With the nearest neighbours (Å) after each atom.
Fractional coordinates of all 12 atoms:
1 Sr 0.0044 0.2500 0.2060  4 Li 3.39-3.76, 5 Bi 3.45-3.52
2 Sr 0.4956 0.7500 0.7060  4 Li 3.39-3.76, 5 Bi 3.45-3.52
3 Sr 0.5044 0.2500 0.2940  4 Li 3.39-3.76, 5 Bi 3.45-3.52
4 Sr 0.9956 0.7500 0.7940  4 Li 3.39-3.76, 5 Bi 3.45-3.52
5 Li 0.1572 0.2500 0.5751  4 Bi 2.93-3.13
6 Li 0.3428 0.7500 0.0751  4 Bi 2.93-3.13
7 Li 0.6572 0.2500 0.9249  4 Bi 2.93-3.13
8 Li 0.8428 0.7500 0.4249  4 Bi 2.93-3.13
9 Bi 0.2230 0.7500 0.4053  4 Li 2.93-3.13
10 Bi 0.2770 0.2500 0.9053  4 Li 2.93-3.13
11 Bi 0.7230 0.7500 0.0947  4 Li 2.93-3.13
12 Bi 0.7770 0.2500 0.5947  4 Li 2.93-3.13



[2]
A geometry-optimized CoAs2Rh structure. Source: Alexandria via LeMat-Bulk, functional PBE-GGA.

Computed properties:
**Space group**: F-43m (216)
**Offset from the most stable computed form**: 64.5 kJ per mole of atoms
**Formation energy from the elements**: 334 meV/atom

a = 4.3961 Å, b = 4.3961 Å, c = 4.3961 Å
α = 60.00°, β = 60.00°, γ = 60.00°
With the nearest neighbours (Å) after each atom.
Fractional coordinates of all 4 atoms:
1 Co 0.0000 0.0000 0.0000  4 As 2.69, 4 Rh 2.69
2 As 0.2500 0.2500 0.2500  4 As 2.69, 4 Co 2.69
3 As 0.5000 0.5000 0.5000  4 As 2.69, 4 Rh 2.69
4 Rh 0.7500 0.7500 0.7500  4 As 2.69, 4 Co 2.69



[3]
A geometry-optimized Zn2OsRu structure. Source: Alexandria via LeMat-Bulk, functional PBE-GGA.

Computed properties:
**Space group**: Cmmm (65)
**Offset from the most stable computed form**: 21.5 kJ per mole of atoms
**Formation energy from the elements**: 225 meV/atom

a = 2.6939 Å, b = 2.6939 Å, c = 8.7781 Å
α = 90.00°, β = 90.00°, γ = 116.33°
With the nearest neighbours (Å) after each atom.
Fractional coordinates of all 4 atoms:
1 Zn 0.0000 0.0000 0.2469  2 Ru 2.59, 2 Os 2.64, 6 Zn 2.69-2.84
2 Zn 0.0000 0.0000 0.7531  2 Ru 2.59, 2 Os 2.64, 6 Zn 2.69-2.84
3 Os 0.5000 0.5000 0.5000  4 Zn 2.64, 6 Os 2.69-2.84
4 Ru 0.5000 0.5000 0.0000  4 Zn 2.59, 6 Ru 2.69-2.84



[4]
A geometry-optimized Sc3RhO structure. Source: Alexandria via LeMat-Bulk, functional PBE-GGA.

Computed properties:
**Space group**: P2/m (10)
**Formation energy (no corrections)**: -1.5216 eV/atom

a = 7.2772 Å, b = 3.2927 Å, c = 7.2957 Å
α = 90.00°, β = 108.07°, γ = 90.00°
With the nearest neighbours (Å) after each atom.
Fractional coordinates of all 10 atoms:
1 Sc 0.0532 0.0000 0.3146  2 O 2.24
2 Sc 0.3136 0.0000 0.0520  2 O 2.24
3 Sc 0.3219 0.5000 0.6786  2 O 2.30
4 Sc 0.6781 0.5000 0.3214  2 O 2.30
5 Sc 0.6864 0.0000 0.9480  2 O 2.24
6 Sc 0.9468 0.0000 0.6854  2 O 2.24
7 Rh 0.0000 0.5000 0.0000  8 Sc 2.74-2.75
8 Rh 0.5000 0.0000 0.5000  4 Sc 2.67
9 O 0.0000 0.5000 0.5000  6 Sc 2.24-2.30
10 O 0.5000 0.5000 0.0000  6 Sc 2.24-2.30



[5]
A geometry-optimized NaLaYMn2 structure. Source: Alexandria via LeMat-Bulk, functional PBE-GGA.

Computed properties:
**Space group**: P4/mmm (123)
**Formation energy from the elements**: 1120 meV/atom

a = 5.3047 Å, b = 5.3047 Å, c = 5.8628 Å
α = 90.00°, β = 90.00°, γ = 90.00°
With the nearest neighbours (Å) after each atom.
Fractional coordinates of all 5 atoms:
1 Na 0.0000 0.0000 0.0000  4 La 3.75, 8 Mn 3.95
2 La 0.5000 0.5000 0.0000  2 Y 2.93
3 Y 0.5000 0.5000 0.5000  4 Mn 2.65, 2 La 2.93
4 Mn 0.0000 0.5000 0.5000  2 Y 2.65
5 Mn 0.5000 0.0000 0.5000  2 Y 2.65



[6]
A geometry-optimized PaZnPb2 structure. Source: Alexandria via LeMat-Bulk, functional PBE-GGA.

Computed properties:
**Space group**: R-3m (166)
**Offset from the most stable computed form**: 35.4 kJ per mole of atoms
**Formation energy from the elements**: 368 meV/atom

a = 11.2660 Å, b = 11.2660 Å, c = 11.2660 Å
α = 17.06°, β = 17.06°, γ = 17.06°
With the nearest neighbours (Å) after each atom.
Fractional coordinates of all 4 atoms:
1 Pa 0.0000 0.0000 0.0000  2 Pb 3.23, 6 Pa 3.34
2 Zn 0.5000 0.5000 0.5000  6 Pb 3.02, 6 Zn 3.34
3 Pb 0.0970 0.0970 0.0970  3 Zn 3.02, 1 Pa 3.23, 6 Pb 3.34
4 Pb 0.9030 0.9030 0.9030  3 Zn 3.02, 1 Pa 3.23, 6 Pb 3.34



[7]
A geometry-optimized LuNpTe2 structure. Source: Alexandria via LeMat-Bulk, functional PBE-GGA.

Computed properties:
**Space group**: R-3m (166)
**Formation energy (no corrections)**: -0.3604 eV/atom
**Offset from the most stable computed form**: 37.7 kJ per mole of atoms

a = 10.0780 Å, b = 10.0780 Å, c = 10.0780 Å
α = 23.58°, β = 23.58°, γ = 23.58°
With the nearest neighbours (Å) after each atom.
Fractional coordinates of all 4 atoms:
1 Lu 0.0000 0.0000 0.0000  2 Te 2.94
2 Np 0.5000 0.5000 0.5000  6 Te 3.08
3 Te 0.1000 0.1000 0.1000  1 Lu 2.94, 3 Np 3.08
4 Te 0.9000 0.9000 0.9000  1 Lu 2.94, 3 Np 3.08



[8]
A geometry-optimized AcB3C structure. Source: Alexandria via LeMat-Bulk, functional PBE-GGA.

Computed properties:
**Space group**: P1 (1)
**Offset from the most stable computed form**: 0.0 kJ per mole of atoms
**Formation energy from the elements**: 38 meV/atom

a = 4.2515 Å, b = 5.5254 Å, c = 5.7628 Å
α = 95.58°, β = 99.11°, γ = 98.35°
With the nearest neighbours (Å) after each atom.
Fractional coordinates of all 10 atoms:
1 Ac 0.0000 0.0000 0.0000  2 C 2.74-3.02, 6 B 2.77-3.06
2 Ac 0.4236 0.4599 0.6445  3 C 2.71-3.01, 8 B 2.80-2.97
3 B 0.1415 0.9445 0.4877  1 C 1.58, 2 B 1.74-1.75
4 B 0.1702 0.4996 0.1544  3 B 1.74-1.92, 1 C 1.75
5 B 0.4936 0.7399 0.2546  1 C 1.55, 1 B 1.69
6 B 0.5687 0.4571 0.1663  1 C 1.62, 2 B 1.69-1.74
7 B 0.8483 0.1356 0.4592  2 C 1.61-1.62, 1 B 1.75
8 B 0.9161 0.6660 0.3451  1 C 1.62, 1 B 1.74
9 C 0.4961 0.9723 0.4303  3 B 1.55-1.61
10 C 0.8820 0.3692 0.3106  4 B 1.62-1.75



The evaluated magnetic moment for the records listed, in turn: 0.000, 1.904, 0.094, 0.000, 7.323, 0.438, 4.307, 0.000 μB/cell.